Entry 1:
The following is a DFT calculation (PBE) of a relaxed MgIN3 crystal.

a = 3.9567 Å, b = 3.9567 Å, c = 3.9567 Å
α = 90.00°, β = 90.00°, γ = 90.00°
With the nearest neighbours (Å) after each atom.
Positions (direct):
I1 0.0000 0.0000 0.0000  6 N 1.98
Mg1 0.5000 0.5000 0.5000  12 N 2.80
N1 0.0000 0.5000 0.0000  2 I 1.98
N2 0.0000 0.0000 0.5000  2 I 1.98
N3 0.5000 0.0000 0.0000  2 I 1.98

Computed properties:
* formation energy (no corrections): 1.683 eV per atom
* calculated density: 5.18 g/cm3
* spin magnetization: 0.000 μB per cell
* crystal system: cubic

***

Entry 2:
The following is a DFT calculation (PBE) of a relaxed MgI2N2 crystal.

a = 4.1793 Å, b = 4.1793 Å, c = 7.5617 Å
α = 90.00°, β = 90.00°, γ = 90.00°
With the nearest neighbours (Å) after each atom.
Positions (direct):
I1 0.0000 0.0000 0.0000  4 N 2.09
I2 0.0000 0.0000 0.5000  4 Mg 2.96
Mg1 0.5000 0.5000 0.5000  4 I 2.96
N1 0.0000 0.5000 0.0000  2 I 2.09
N2 0.5000 0.0000 0.0000  2 I 2.09

Computed properties:
* formation energy (no corrections): 1.467 eV per atom
* calculated density: 3.85 g/cm3
* spin magnetization: 0.831 μB per cell
* crystal system: tetragonal

***

- The lowest formation energy (no corrections) belongs to which entry?
  MgI2N2